#w
The following is a DFT calculation (PBE-GGA) of LiNdCu after structural relaxation.

Calculated volume (Å³/f.u.): 64.1
Size of the total moment (μB/f.u.): 0.000

Cell: 4.4936 4.4936 3.6674 Å, 90.00 90.00 120.00°
Space group P-6m2 (No. 187)
Unique sites:
1 Li 0.0000 0.0000 0.0000
2 Nd 0.6667 0.3333 0.5000
3 Cu 0.3333 0.6667 0.0000

=====

#x
The following is a DFT calculation (PBE-GGA) of LiNdCu after structural relaxation.

Calculated volume (Å³/f.u.): 63.0
Size of the total moment (μB/f.u.): 0.001

Cell: 3.5976 3.5976 9.7323 Å, 90.00 90.00 90.00°
Space group I4mm (No. 107)
Unique sites:
1 Li 0.0000 0.0000 0.0000
2 Nd 0.0000 0.0000 0.2947
3 Cu 0.0000 0.0000 0.6220

=====

#y
The following is a DFT calculation (PBE-GGA) of LiNdCu after structural relaxation.

Calculated volume (Å³/f.u.): 71.2
Size of the total moment (μB/f.u.): 0.000

Cell: 10.0421 3.9243 7.3907 Å, 90.00 101.95 90.00°
Space group C2/m (No. 12)
Unique sites:
1 Li 0.1374 0.0000 0.4415
2 Nd 0.1203 0.5000 0.8273
3 Cu 0.1812 0.5000 0.2328

=====

Winner for stability: #w

=====

#w
The following is a DFT calculation (PBE-GGA) of LiNdCu after structural relaxation.

Calculated volume (Å³/f.u.): 74.1
Size of the total moment (μB/f.u.): 0.000

Cell: 6.6668 6.6668 6.6668 Å, 90.00 90.00 90.00°
Space group F-43m (No. 216)
Unique sites:
1 Li 0.0000 0.0000 0.0000
2 Nd 0.0000 0.0000 0.5000
3 Cu 0.2500 0.2500 0.7500

=====

#x
The following is a DFT calculation (PBE-GGA) of LiNdCu after structural relaxation.

Calculated volume (Å³/f.u.): 64.8
Size of the total moment (μB/f.u.): 0.000

Cell: 4.0353 12.8819 7.4752 Å, 90.00 90.00 90.00°
Space group Amm2 (No. 38)
Unique sites:
1 Li 0.0000 0.0000 0.0000
2 Li 0.0000 0.1154 0.6535
3 Nd 0.5000 0.0000 0.3543
4 Nd 0.5000 0.2071 0.9761
5 Cu 0.0000 0.1669 0.2689
6 Cu 0.5000 0.0000 0.7688

=====

Winner for stability: #x